(1)
GGA-PBE TlCo2Au2, relaxed; total DFT energy (no corrections) = -4.20 eV per atom; space-group type = I4/mmm, No. 139
1.0
-3.130 -2.082 -1.062
2.323 -2.963 -1.041
-0.782 -4.733 4.397
Au Co Tl
2 2 1
Direct
0.250 0.750 0.500 Au
0.750 0.250 0.500 Au
0.594 0.594 0.812 Co
0.406 0.406 0.188 Co
0.000 0.000 0.000 Tl

---

(2)
GGA-PBE AcLa3YEr, relaxed; total DFT energy (no corrections) = -4.95 eV per atom; space-group type = P2_1/m, No. 11
1.0
-0.898 4.818 2.046
-7.325 0.198 -3.681
0.068 -4.332 10.230
La Ac Er Y
6 2 2 2
Direct
0.750 0.381 0.208 La
0.250 0.628 0.456 La
0.750 0.372 0.544 La
0.250 0.619 0.792 La
0.750 0.870 0.041 La
0.250 0.130 0.959 La
0.250 0.121 0.294 Ac
0.750 0.879 0.706 Ac
0.250 0.128 0.627 Er
0.750 0.872 0.373 Er
0.750 0.378 0.876 Y
0.250 0.622 0.124 Y

---

(3)
GGA-PBE ErCdAgHg, relaxed; total DFT energy (no corrections) = -2.49 eV per atom; space-group type = F-43m, No. 216
1.0
4.978 0.000 0.000
2.489 4.311 0.000
2.489 1.437 4.064
Hg Cd Er Ag
1 1 1 1
Direct
0.500 0.500 0.500 Hg
0.750 0.750 0.750 Cd
0.250 0.250 0.250 Er
0.000 0.000 0.000 Ag

---

Taking the records one at a time from the top gives energy of formation from the pure elements values of 424 40 -328 meV/atom.
Taking the records one at a time from the top gives DOS(E_F) values of 4.86 11.34 1.75 states/eV/f.u..